Cs3SrEr2Se6 after structural relaxation, computed with PBE.

Computed properties:
Crystal system ... monoclinic
Total DFT energy (no corrections) ... -4.436 eV/atom
Formation energy without anion corrections ... -1580 meV/atom

Lattice parameters (Å, degrees): 7.540 7.540 8.741 98.29 98.29 120.04
Positions (direct):
Sr  0.000  0.000  0.000
Er  0.667  0.333  0.000
Er  0.333  0.667  0.000
Se  0.063  0.420  0.188
Se  0.705  0.705  0.185
Se  0.580  0.937  0.812
Se  0.937  0.580  0.812
Se  0.295  0.295  0.815
Se  0.420  0.063  0.188
Cs  0.839  0.161  0.500
Cs  0.161  0.839  0.500
Cs  0.500  0.500  0.500

***

Cs4TbEr3Se8 after structural relaxation, computed with PBE.

Computed properties:
Crystal system ... trigonal
Total DFT energy (no corrections) ... -4.822 eV/atom
Formation energy without anion corrections ... -1721 meV/atom

Lattice parameters (Å, degrees): 8.493 9.702 8.496 115.99 119.99 90.00
Positions (direct):
Tb  0.000  0.500  0.000
Se  0.272  0.316  0.544
Se  0.274  0.315  0.045
Se  0.770  0.315  0.045
Se  0.726  0.685  0.955
Se  0.728  0.684  0.456
Se  0.230  0.685  0.955
Se  0.770  0.315  0.541
Se  0.230  0.685  0.459
Er  0.000  0.500  0.500
Er  0.500  0.500  0.000
Er  0.500  0.500  0.500
Cs  0.500  0.000  0.000
Cs  0.500  0.000  0.500
Cs  0.000  0.000  0.000
Cs  0.000  0.000  0.500

***

Cs2TbErSe4 after structural relaxation, computed with PBE.

Computed properties:
Crystal system ... monoclinic
Total DFT energy (no corrections) ... -4.829 eV/atom
Formation energy without anion corrections ... -1724 meV/atom

Lattice parameters (Å, degrees): 4.261 7.379 8.725 106.36 90.00 90.00
Positions (direct):
Cs  0.500  0.000  0.500
Cs  0.000  0.500  0.500
Se  0.000  0.731  0.186
Se  0.500  0.225  0.184
Se  0.000  0.269  0.814
Se  0.500  0.775  0.816
Er  0.000  0.000  0.000
Tb  0.500  0.500  0.000

***

Cs4Tb3ErSe8 after structural relaxation, computed with PBE.

Computed properties:
Crystal system ... trigonal
Total DFT energy (no corrections) ... -4.837 eV/atom
Formation energy without anion corrections ... -1728 meV/atom

Lattice parameters (Å, degrees): 8.546 9.717 8.548 116.08 119.99 90.00
Positions (direct):
Se  0.271  0.314  0.543
Se  0.731  0.685  0.958
Se  0.227  0.685  0.958
Se  0.227  0.685  0.454
Se  0.773  0.315  0.546
Se  0.773  0.315  0.042
Se  0.269  0.315  0.042
Se  0.729  0.686  0.457
Cs  0.500  0.000  0.000
Cs  0.000  0.000  0.000
Cs  0.500  0.000  0.500
Cs  0.000  0.000  0.500
Er  0.000  0.500  0.000
Tb  0.000  0.500  0.500
Tb  0.500  0.500  0.000
Tb  0.500  0.500  0.500

***

Cs3Tb3ErSe8 after structural relaxation, computed with PBE.

Computed properties:
Crystal system ... triclinic
Total DFT energy (no corrections) ... -4.933 eV/atom
Formation energy without anion corrections ... -1673 meV/atom

Lattice parameters (Å, degrees): 8.393 8.395 9.853 115.19 90.00 120.05
Positions (direct):
Tb  0.500  0.500  0.500
Tb  0.500  0.000  0.500
Tb  0.000  0.500  0.500
Se  0.270  0.541  0.314
Se  0.269  0.043  0.317
Se  0.730  0.459  0.686
Se  0.773  0.042  0.317
Se  0.773  0.547  0.317
Se  0.227  0.453  0.683
Se  0.227  0.958  0.683
Se  0.731  0.957  0.683
Er  0.000  0.000  0.500
Cs  0.000  0.000  0.000
Cs  0.500  0.500  0.000
Cs  0.000  0.500  0.000

***

CsErTeSe after structural relaxation, computed with PBE.

Computed properties:
Crystal system ... trigonal
Total DFT energy (no corrections) ... -4.525 eV/atom
Formation energy without anion corrections ... -1514 meV/atom

Lattice parameters (Å, degrees): 4.354 4.354 9.111 90.00 103.82 120.00
Positions (direct):
Te  0.096  0.946  0.057
Cs  0.973  0.384  0.374
Er  0.294  0.545  0.854
Se  0.515  0.155  0.686

***

- Among the records above, which one has the highest formation energy without anion corrections?
  CsErTeSe